Entry 1:
Fe2RuW | PBEsol | relaxed

The calculated volume is 12.3 Å³/atom. For the uncorrected energy, the calculation gives -0.38093 hartree per atom. Its total magnetization is 1.48 μB/f.u. The density of states at the Fermi level comes out at 1.1317 states/eV/atom.

Lattice parameters (Å, degrees): 3.9762 2.6047 9.5185 90.00 90.00 90.00
Space group Amm2 (No. 38)
One atom of each set of equivalent atoms:
Fe  0.0000  0.0000  0.0000
Fe  0.5000  0.0000  0.1210
Ru  0.5000  0.0000  0.3977
W  0.0000  0.0000  0.7370



Entry 2:
FeRuW | PBEsol | relaxed

The calculated volume is 16.1 Å³/atom. For the uncorrected energy, the calculation gives -0.37317 hartree per atom. Its total magnetization is 2.52 μB/f.u. The density of states at the Fermi level comes out at 1.2335 states/eV/atom.

Lattice parameters (Å, degrees): 5.7824 5.7824 5.7824 90.00 90.00 90.00
Space group F-43m (No. 216)
One atom of each set of equivalent atoms:
Fe  0.0000  0.0000  0.0000
Ru  0.2500  0.2500  0.2500
W  0.0000  0.0000  0.5000



Entry 3:
Fe4RuW | PBEsol | relaxed

The calculated volume is 11.5 Å³/atom. For the uncorrected energy, the calculation gives -0.36715 hartree per atom. Its total magnetization is 4.97 μB/f.u. The density of states at the Fermi level comes out at 1.0588 states/eV/atom.

Lattice parameters (Å, degrees): 6.5182 6.5182 6.5182 90.00 90.00 90.00
Space group F-43m (No. 216)
One atom of each set of equivalent atoms:
Fe  0.1245  0.1245  0.3755
Ru  0.2500  0.2500  0.7500
W  0.0000  0.0000  0.0000



Entry 4:
FeRu2W | PBEsol | relaxed

The calculated volume is 13.3 Å³/atom. For the uncorrected energy, the calculation gives -0.39083 hartree per atom. Its total magnetization is 1.35 μB/f.u. The density of states at the Fermi level comes out at 1.1687 states/eV/atom.

Lattice parameters (Å, degrees): 2.6956 2.6956 7.3012 90.00 90.00 90.00
Space group P4/mmm (No. 123)
One atom of each set of equivalent atoms:
Fe  0.0000  0.0000  0.0000
Ru  0.5000  0.5000  0.2297
W  0.0000  0.0000  0.5000



Entry 5:
Fe2RuW | PBEsol | relaxed

The calculated volume is 13.0 Å³/atom. For the uncorrected energy, the calculation gives -0.37682 hartree per atom. Its total magnetization is 4.79 μB/f.u. The density of states at the Fermi level comes out at 1.0096 states/eV/atom.

Lattice parameters (Å, degrees): 5.0943 8.2324 2.6096 90.00 108.53 90.00
Space group C2/m (No. 12)
One atom of each set of equivalent atoms:
Fe  0.2500  0.2500  0.0000
Ru  0.0000  0.0000  0.5000
W  0.0000  0.5000  0.5000



Entry 6:
Fe2RuW | PBEsol | relaxed

The calculated volume is 12.8 Å³/atom. For the uncorrected energy, the calculation gives -0.38104 hartree per atom. Its total magnetization is 4.60 μB/f.u. The density of states at the Fermi level comes out at 0.7956 states/eV/atom.

Lattice parameters (Å, degrees): 2.9794 2.9794 5.7891 90.00 90.00 90.00
Space group P4mm (No. 99)
One atom of each set of equivalent atoms:
Fe  0.0000  0.0000  0.0000
Fe  0.5000  0.5000  0.2140
Ru  0.0000  0.0000  0.4801
W  0.5000  0.5000  0.7502



Q: Among the records above, which one has the highest calculated volume?
A: FeRuW



Q: Look up the calculated volume of the third one.
A: 11.5 Å³/atom